# 1
MoRu3 meta-GGA SCAN PBEsol geometry; DFT total energy = -34.437 eV per atom; size of the total moment = 3.03 μB per cell; calculated density = 11.7 g/cm3; DFT formation energy = 0.404 eV/atom; DOS at the Fermi energy = 3.2 states/eV per cell
1.0
-4.3048 -0.0437 0.0559
-2.1823 -1.4728 -3.4066
-2.1117 -3.7436 0.2506
Mo Ru
1 3
direct
0.0000 0.0000 0.0000
0.7500 0.7500 0.7500
0.5000 0.5000 0.5000
0.2500 0.2500 0.2500



# 2
DyErAl2 meta-GGA SCAN PBEsol geometry; DFT total energy = -28.828 eV per atom; size of the total moment = 0.00 μB per cell; calculated density = 7.2 g/cm3; DFT formation energy = -0.418 eV/atom; DOS at the Fermi energy = 1.2 states/eV per cell
1.0
4.9996 0.0000 0.0000
2.4998 4.3298 0.0000
2.4998 1.4433 4.0822
Er Al Dy
1 2 1
direct
0.0000 0.0000 0.0000
0.7500 0.7500 0.7500
0.2500 0.2500 0.2500
0.5000 0.5000 0.5000



# 3
SmS2 meta-GGA SCAN PBEsol geometry; DFT total energy = -23.156 eV per atom; size of the total moment = 0.00 μB per cell; calculated density = 5.9 g/cm3; formation energy without anion corrections = -1.923 eV/atom; DOS at the Fermi energy = 0.6 states/eV per cell
1.0
-2.6206 0.3371 -2.8318
-2.8518 -0.2931 2.6042
0.0256 7.9396 0.9215
S Sm
4 2
direct
0.0000 0.5000 0.3669
0.5000 0.0000 0.6331
0.0000 0.0000 0.0000
0.5000 0.5000 0.0000
0.0000 0.5000 0.7269
0.5000 0.0000 0.2731



# 4
RbFeNi3 meta-GGA SCAN PBEsol geometry; DFT total energy = -14.892 eV per atom; size of the total moment = 4.61 μB per cell; calculated density = 5.9 g/cm3; DFT formation energy = 2.586 eV/atom; DOS at the Fermi energy = 6.5 states/eV per cell
1.0
-2.3194 0.0632 3.8335
-3.5857 -1.6218 -2.1428
1.3572 -4.1767 0.8901
Ni Fe Rb
3 1 1
direct
0.0000 0.5000 0.0000
0.0000 0.0000 0.5000
0.5000 0.0000 0.0000
0.5000 0.5000 0.5000
0.0000 0.0000 0.0000



# 5
CdTeW2 meta-GGA SCAN PBEsol geometry; DFT total energy = -50.700 eV per atom; size of the total moment = 0.00 μB per cell; calculated density = 14.3 g/cm3; formation energy without anion corrections = 1.061 eV/atom; DOS at the Fermi energy = 3.7 states/eV per cell
1.0
-1.4058 2.5686 -1.3499
-2.9005 -1.2869 0.5720
-0.1752 3.0840 6.0505
Te W Cd
1 2 1
direct
0.5000 0.5000 0.5000
0.0000 0.0000 0.7334
0.0000 0.0000 0.2666
0.5000 0.5000 0.0000



# 6
Li3VCr3O8 meta-GGA SCAN PBEsol geometry; DFT total energy = -11.144 eV per atom; size of the total moment = 8.00 μB per cell; calculated density = 4.3 g/cm3; formation energy without anion corrections = -2.500 eV/atom; DOS at the Fermi energy = 4.6 states/eV per cell
1.0
5.7089 -0.0673 -0.0477
2.7816 4.9859 -0.0477
2.7816 1.6114 4.7185
Li V Cr O
3 1 3 8
direct
0.0000 0.5000 0.0000
0.5000 0.0000 0.0000
0.0000 0.0000 0.5000
0.5000 0.5000 0.5000
0.5000 0.5000 0.0000
0.0000 0.5000 0.5000
0.5000 0.0000 0.5000
0.2579 0.2579 0.2579
0.7421 0.7421 0.7421
0.7208 0.2640 0.2640
0.2640 0.7208 0.2640
0.2640 0.2640 0.7208
0.7360 0.7360 0.2792
0.7360 0.2792 0.7360
0.2792 0.7360 0.7360



# 7
LaGe2As2 meta-GGA SCAN PBEsol geometry; DFT total energy = -24.752 eV per atom; size of the total moment = 0.00 μB per cell; calculated density = 6.4 g/cm3; DFT formation energy = -0.419 eV/atom; DOS at the Fermi energy = 1.7 states/eV per cell
1.0
4.0311 0.0000 0.0000
0.0000 4.0311 0.0000
-2.0155 -2.0155 6.8772
As Ge La
2 2 1
direct
0.4078 0.4078 0.8156
0.5922 0.5922 0.1844
0.2500 0.7500 0.5000
0.7500 0.2500 0.5000
0.0000 0.0000 0.0000



# 8
LiSc2Ru meta-GGA SCAN PBEsol geometry; DFT total energy = -16.743 eV per atom; size of the total moment = 0.00 μB per cell; calculated density = 4.9 g/cm3; DFT formation energy = -0.321 eV/atom; DOS at the Fermi energy = 2.5 states/eV per cell
1.0
3.2847 0.0000 0.0000
0.0000 4.5377 0.0000
0.0000 0.0000 4.5377
Sc Ru Li
2 1 1
direct
0.0000 0.0000 0.5000
0.0000 0.5000 0.0000
0.5000 0.5000 0.5000
0.5000 0.0000 0.0000



# 9
CrRhOF2 meta-GGA SCAN PBEsol geometry; DFT total energy = -14.486 eV per atom; size of the total moment = 5.06 μB per cell; calculated density = 6.0 g/cm3; formation energy without anion corrections = -1.393 eV/atom; DOS at the Fermi energy = 4.3 states/eV per cell
1.0
3.6872 0.0000 0.0000
0.0000 3.9445 0.0000
0.0000 0.0000 3.9445
Cr Rh O F
1 1 1 2
direct
0.0000 0.0000 0.0000
0.5000 0.5000 0.5000
0.5000 0.0000 0.0000
0.0000 0.0000 0.5000
0.0000 0.5000 0.0000



# 10
Ca3ZrRu meta-GGA SCAN PBEsol geometry; DFT total energy = -18.194 eV per atom; size of the total moment = 2.34 μB per cell; calculated density = 3.6 g/cm3; DFT formation energy = 0.709 eV/atom; DOS at the Fermi energy = 6.6 states/eV per cell
1.0
-3.6771 0.3548 -3.7353
-3.6945 -1.2549 3.5178
-0.6547 5.0891 1.1279
Ru Ca Zr
1 3 1
direct
0.0000 0.0000 0.0000
0.0000 0.5000 0.0000
0.0000 0.0000 0.5000
0.5000 0.0000 0.0000
0.5000 0.5000 0.5000



# 11
Mn2AlCo meta-GGA SCAN PBEsol geometry; DFT total energy = -15.847 eV per atom; size of the total moment = 2.00 μB per cell; calculated density = 7.2 g/cm3; DFT formation energy = -0.455 eV/atom; DOS at the Fermi energy = 0.5 states/eV per cell
1.0
3.9904 0.0000 0.0000
1.9952 3.4558 0.0000
1.9952 1.1519 3.2581
Mn Co Al
2 1 1
direct
0.0000 0.0000 0.0000
0.2500 0.2500 0.2500
0.5000 0.5000 0.5000
0.7500 0.7500 0.7500



# 12
FeHg meta-GGA SCAN PBEsol geometry; DFT total energy = -42.779 eV per atom; size of the total moment = 5.67 μB per cell; calculated density = 12.4 g/cm3; DFT formation energy = 0.368 eV/atom; DOS at the Fermi energy = 2.2 states/eV per cell
1.0
-1.8892 1.2198 -1.8141
-0.7071 -3.3772 -1.5345
-4.6039 -0.9303 4.1689
Fe Hg
2 2
direct
0.0000 0.0000 0.5308
0.5000 0.5000 0.4692
0.5000 0.0000 0.1528
0.0000 0.5000 0.8472



# 13
LaZr2Cr2 meta-GGA SCAN PBEsol geometry; DFT total energy = -27.710 eV per atom; size of the total moment = 0.00 μB per cell; calculated density = 6.8 g/cm3; DFT formation energy = 0.544 eV/atom; DOS at the Fermi energy = 5.8 states/eV per cell
1.0
4.3156 0.0000 0.0000
0.0000 4.3156 0.0000
-2.1578 -2.1578 5.5699
Cr Zr La
2 2 1
direct
0.4110 0.4110 0.8220
0.5890 0.5890 0.1780
0.2500 0.7500 0.5000
0.7500 0.2500 0.5000
0.0000 0.0000 0.0000



# 14
GaSiN2 meta-GGA SCAN PBEsol geometry; DFT total energy = -11.659 eV per atom; size of the total moment = 0.00 μB per cell; calculated density = 4.8 g/cm3; formation energy without anion corrections = -0.423 eV/atom; DOS at the Fermi energy = 4.0 states/eV per cell
1.0
4.5004 0.0000 0.0000
-2.2502 4.8228 -0.0949
0.0000 2.1774 3.9387
Si Ga N
2 2 4
direct
0.2500 0.5000 0.2500
0.5000 0.0000 0.5000
0.7500 0.5000 0.7500
0.0000 0.0000 0.0000
0.5671 0.7500 0.3750
0.1829 0.7500 0.8750
0.8750 0.2500 0.5671
0.3750 0.2500 0.1829



# 15
LaTiTc2 meta-GGA SCAN PBEsol geometry; DFT total energy = -32.243 eV per atom; size of the total moment = 0.00 μB per cell; calculated density = 9.2 g/cm3; DFT formation energy = 0.071 eV/atom; DOS at the Fermi energy = 2.6 states/eV per cell
1.0
4.6042 0.0000 0.0000
2.3021 3.9874 0.0000
2.3021 1.3291 3.7593
Ti Tc La
1 2 1
direct
0.0000 0.0000 0.0000
0.2500 0.2500 0.2500
0.7500 0.7500 0.7500
0.5000 0.5000 0.5000



# 16
GaSeSBr2 meta-GGA SCAN PBEsol geometry; DFT total energy = -16.607 eV per atom; size of the total moment = 1.94 μB per cell; calculated density = 4.6 g/cm3; formation energy without anion corrections = 0.387 eV/atom; DOS at the Fermi energy = 3.4 states/eV per cell
1.0
-0.7732 1.1121 -4.6811
2.6856 -3.8341 -1.3545
-4.2734 -2.9916 -0.0048
S Ga Se Br
1 1 1 2
direct
0.5000 0.5000 0.5000
0.0000 0.0000 0.0000
0.0000 0.0000 0.5000
0.0000 0.5000 0.0000
0.5000 0.0000 0.0000



# 17
Ag2H12SN4O4 meta-GGA SCAN PBEsol geometry; DFT total energy = -8.309 eV per atom; size of the total moment = 0.00 μB per cell; calculated density = 2.9 g/cm3; DOS at the Fermi energy = 0.0 states/eV per cell
1.0
6.1537 0.0000 0.0000
0.0000 8.4645 0.0000
0.0000 0.0000 8.4645
Ag H S N O
4 24 2 8 8
direct
0.0002 0.5000 0.0000
0.4998 0.0000 0.5000
0.9998 0.0000 0.5000
0.5002 0.5000 0.0000
0.8791 0.5966 0.7104
0.6209 0.9034 0.2104
0.8791 0.4034 0.2896
0.6209 0.0966 0.7896
0.1209 0.2896 0.5966
0.3791 0.7896 0.9034
0.1209 0.7104 0.4034
0.3791 0.2104 0.0966
0.0489 0.7259 0.7969
0.4511 0.7741 0.2969
0.0489 0.2741 0.2031
0.4511 0.2259 0.7031
0.9511 0.2031 0.7259
0.5489 0.7031 0.7741
0.9511 0.7969 0.2741
0.5489 0.2969 0.2259
0.1463 0.5566 0.7178
0.3537 0.9434 0.2178
0.1463 0.4434 0.2822
0.3537 0.0566 0.7822
0.8537 0.2822 0.5566
0.6463 0.7822 0.9434
0.8537 0.7178 0.4434
0.6463 0.2178 0.0566
0.5000 0.5000 0.5000
0.0000 0.0000 0.0000
0.0176 0.6068 0.7791
0.4824 0.8932 0.2791
0.0176 0.3932 0.2209
0.4824 0.1068 0.7209
0.9824 0.2209 0.6068
0.5176 0.7209 0.8932
0.9824 0.7791 0.3932
0.5176 0.2791 0.1068
0.6394 0.6254 0.5709
0.8606 0.8746 0.0709
0.6394 0.3746 0.4291
0.8606 0.1254 0.9291
0.3607 0.4291 0.6254
0.1394 0.9291 0.8746
0.3607 0.5709 0.3746
0.1394 0.0709 0.1254



# 18
CuAuSe4 meta-GGA SCAN PBEsol geometry; DFT total energy = -27.566 eV per atom; size of the total moment = 0.00 μB per cell; calculated density = 7.7 g/cm3; formation energy without anion corrections = -0.121 eV/atom; DOS at the Fermi energy = 0.2 states/eV per cell
1.0
-3.7525 -1.7545 -0.4676
1.7245 -5.0665 5.1704
-2.6720 4.9712 5.7625
Au Cu Se
2 2 8
direct
0.5000 0.0000 0.0000
0.5000 0.5000 0.0000
0.9777 0.2500 0.3454
0.0223 0.7500 0.6546
0.4247 0.9945 0.6920
0.5753 0.4945 0.3080
0.5753 0.0055 0.3080
0.4247 0.5055 0.6920
0.0644 0.2500 0.6364
0.9356 0.7500 0.3636
0.1244 0.2500 0.0628
0.8756 0.7500 0.9372



# 19
Zn2FeCuO meta-GGA SCAN PBEsol geometry; DFT total energy = -13.210 eV per atom; size of the total moment = 2.46 μB per cell; calculated density = 6.9 g/cm3; formation energy without anion corrections = 0.108 eV/atom; DOS at the Fermi energy = 3.0 states/eV per cell
1.0
-3.6017 0.7015 -0.5674
-0.3235 -3.4830 -2.2529
-0.9579 -2.1359 3.4397
O Zn Fe Cu
1 2 1 1
direct
0.0000 0.0000 0.0000
0.0000 0.0000 0.5000
0.0000 0.5000 0.0000
0.5000 0.5000 0.5000
0.5000 0.0000 0.0000



# 20
NiSe2Br meta-GGA SCAN PBEsol geometry; DFT total energy = -19.225 eV per atom; size of the total moment = 0.00 μB per cell; calculated density = 4.9 g/cm3; formation energy without anion corrections = -0.277 eV/atom; DOS at the Fermi energy = 3.2 states/eV per cell
1.0
-1.9187 0.2052 3.0192
4.3406 -4.0386 0.9093
5.1675 8.8836 0.5441
Ni Br Se
2 2 4
direct
0.4213 0.2232 0.6186
0.5787 0.7768 0.3814
0.6128 0.3660 0.8590
0.3872 0.6340 0.1410
0.7836 0.9490 0.6166
0.0597 0.4999 0.6189
0.2164 0.0510 0.3834
0.9403 0.5001 0.3811



# 21
ZnNiTe2N meta-GGA SCAN PBEsol geometry; DFT total energy = -22.269 eV per atom; size of the total moment = 0.00 μB per cell; calculated density = 6.9 g/cm3; formation energy without anion corrections = 0.427 eV/atom; DOS at the Fermi energy = 2.3 states/eV per cell
1.0
-0.8626 2.5887 1.9641
2.7319 -2.1406 4.0213
4.3469 2.6278 -1.5543
Ni Zn Te N
1 1 2 1
direct
0.0000 0.0000 0.0000
0.5000 0.5000 0.5000
0.0000 0.0000 0.5000
0.0000 0.5000 0.0000
0.5000 0.0000 0.0000



# 22
ReSbSe meta-GGA SCAN PBEsol geometry; DFT total energy = -41.430 eV per atom; size of the total moment = 0.00 μB per cell; calculated density = 10.0 g/cm3; formation energy without anion corrections = 1.382 eV/atom; DOS at the Fermi energy = 3.1 states/eV per cell
1.0
4.4981 0.0000 0.0000
2.2491 3.8955 0.0000
2.2491 1.2985 3.6727
Re Se Sb
1 1 1
direct
0.5000 0.5000 0.5000
0.0000 0.0000 0.0000
0.2500 0.2500 0.2500



# 23
Al2AgAu meta-GGA SCAN PBEsol geometry; DFT total energy = -29.262 eV per atom; size of the total moment = 0.00 μB per cell; calculated density = 9.1 g/cm3; DFT formation energy = -0.255 eV/atom; DOS at the Fermi energy = 1.4 states/eV per cell
1.0
-2.1234 1.2119 1.6935
-2.2150 -1.6888 1.0428
3.1318 -1.8649 7.8731
Au Al Ag
1 2 1
direct
0.5000 0.5000 0.5000
0.2488 0.2488 0.2535
0.7512 0.7512 0.7465
0.0000 0.0000 0.0000



# 24
CuIrOs meta-GGA SCAN PBEsol geometry; DFT total energy = -52.569 eV per atom; size of the total moment = 0.00 μB per cell; calculated density = 18.7 g/cm3; DFT formation energy = 0.158 eV/atom; DOS at the Fermi energy = 2.3 states/eV per cell
1.0
2.7084 0.0000 0.0000
0.0000 3.7300 0.0000
-1.3542 -1.8650 3.9209
Cu Ir Os
1 1 1
direct
0.9993 0.9993 0.9986
0.6676 0.6676 0.3352
0.3331 0.3331 0.6662



# 25
CaLaIr4 meta-GGA SCAN PBEsol geometry; DFT total energy = -56.910 eV per atom; size of the total moment = 0.50 μB per cell; calculated density = 14.5 g/cm3; DFT formation energy = -0.716 eV/atom; DOS at the Fermi energy = 6.0 states/eV per cell
1.0
-4.6442 -2.2367 -1.4549
-1.7104 -4.4499 2.4416
-4.2191 0.2052 3.2932
Ca Ir La
1 4 1
direct
0.0000 0.0000 0.0000
0.3747 0.3747 0.3747
0.3747 0.3747 0.8758
0.8758 0.3747 0.3747
0.3747 0.8758 0.3747
0.7500 0.7500 0.7500



# 26
Mn2ReAs meta-GGA SCAN PBEsol geometry; DFT total energy = -31.951 eV per atom; size of the total moment = 0.37 μB per cell; calculated density = 12.2 g/cm3; DFT formation energy = -0.002 eV/atom; DOS at the Fermi energy = 2.3 states/eV per cell
1.0
-0.8219 2.0023 -1.7571
-3.9723 -1.0119 0.7049
-0.1377 2.8406 3.3015
As Mn Re
1 2 1
direct
0.5000 0.5000 0.1890
0.0000 0.0000 0.0311
0.0000 0.5000 0.7439
0.5000 0.0000 0.5360